Record 1
First-principles (PBE-GGA) data for a geometry-optimized Cu2BiAu structure, as listed in OQMD.

The structure in POSCAR format:
```
Cu2BiAu
1.0
6.6458 0.0000 0.0000
0.0000 6.6458 0.0000
0.0000 0.0000 6.6458
Cu Bi Au
8 4 4
direct
0.0000 0.0000 0.0000
0.0000 0.5000 0.5000
0.2500 0.2500 0.2500
0.2500 0.7500 0.7500
0.5000 0.0000 0.5000
0.5000 0.5000 0.0000
0.7500 0.2500 0.7500
0.7500 0.7500 0.2500
0.0000 0.0000 0.5000
0.0000 0.5000 0.0000
0.5000 0.0000 0.0000
0.5000 0.5000 0.5000
0.2500 0.2500 0.7500
0.2500 0.7500 0.2500
0.7500 0.2500 0.2500
0.7500 0.7500 0.7500
```

Summary:
- crystal system = cubic
- symmetry = F-43m (216)

Record 2
First-principles (PBE-GGA) data for a geometry-optimized Li2CuTcH6 structure, as listed in OQMD.

The structure in POSCAR format:
```
Li2CuTcH6
1.0
2.3535 1.3588 3.7663
-2.3535 1.3588 3.7663
0.0000 -2.7176 3.7663
Li Cu Tc H
2 1 1 6
direct
0.0000 0.0000 0.0000
0.4939 0.4939 0.4939
0.7650 0.7650 0.7650
0.2461 0.2461 0.2461
0.0656 0.5637 0.4440
0.1385 0.5935 0.8962
0.4440 0.0656 0.5637
0.5637 0.4440 0.0656
0.5935 0.8962 0.1385
0.8962 0.1385 0.5935
```

Summary:
- spin magnetization (Bohr magnetons per cell) = 0.0
- crystal system = trigonal
- symmetry = R3 (146)

Number 1: relative energy among the computed polymorphs 0.098 eV per atom, DFT total energy -3.421 eV per atom. Number 2: relative energy among the computed polymorphs 0.099 eV per atom, DFT total energy -3.814 eV per atom.